First-principles (PBE+U) data for a geometry-optimized NaVIn2F6 structure, as listed in Alexandria.

The structure in CIF format:
```
data_NaVIn2F6
_chemical_formula_sum 'Na1 V1 In2 F6'
_symmetry_space_group_name_H-M 'P -1'
_symmetry_Int_Tables_number 2
_cell_length_a 6.066
_cell_length_b 6.073
_cell_length_c 6.112
_cell_angle_alpha 60.34
_cell_angle_beta 60.28
_cell_angle_gamma 60.22
loop_
_symmetry_equiv_pos_as_xyz
'x,y,z'
'-x,-y,-z'
loop_
_atom_site_label
_atom_site_type_symbol
_atom_site_fract_x
_atom_site_fract_y
_atom_site_fract_z
_atom_site_occupancy
Na1 Na 0.000 0.000 0.000 1
V1 V 0.500 0.500 0.500 1
In1 In 0.247 0.251 0.256 1
F1 F 0.254 0.716 0.285 1
F2 F 0.260 0.718 0.742 1
F3 F 0.295 0.245 0.729 1
```

Values from the calculation:
Final energy: -49.4 eV for the cell shown